Entry 1:
The following is a PBE calculation of a geometry-optimized LiCd2Pb structure, from the Alexandria database.

Properties
DFT total energy (eV per cell): -7.82
Space-group type: P2/m (10)
M_tot (μB/f.u.): 0.00

Cell: 5.6228 3.2497 5.2059 Å, 93.46 90.00 90.00°
Last column: nearest neighbours and their distance in Å.
Atoms (fractional coordinates):
Cd 0.0000 0.5070 0.4899  6 Cd 2.92-3.27, 2 Li 3.17, 2 Pb 3.20
Cd 0.0000 0.9930 0.0101  6 Cd 2.92-3.27, 2 Li 3.17, 2 Pb 3.20
Pb 0.5000 0.7500 0.7500  4 Li 2.98-3.15, 4 Cd 3.20, 2 Pb 3.25
Li 0.5000 0.2500 0.2500  4 Pb 2.98-3.15, 4 Cd 3.17, 2 Li 3.25

Entry 2:
The following is a PBE calculation of a geometry-optimized TaTeI2O structure, from the Alexandria database.

Properties
DFT total energy (eV per cell): -18.86
Space-group type: P4/mmm (123)
M_tot (μB/f.u.): 3.20
Formation energy from raw total energies (meV per atom): 839
ΔE to the lowest computed polymorph (eV/atom): 1.2214

Cell: 6.0916 6.0916 3.9805 Å, 90.00 90.00 90.00°
Last column: nearest neighbours and their distance in Å.
Atoms (fractional coordinates):
Ta 0.5000 0.5000 0.5000  8 I 3.64, 2 Ta 3.98
Te 0.0000 0.0000 0.0000  2 O 1.99
I 0.0000 0.5000 0.0000  2 Te 3.05
I 0.5000 0.0000 0.0000  2 Te 3.05
O 0.0000 0.0000 0.5000  2 Te 1.99

Entry 3:
The following is a PBE calculation of a geometry-optimized YAl2AsCl structure, from the Alexandria database.

Properties
DFT total energy (eV per cell): -19.37
Space-group type: P4/mmm (123)
M_tot (μB/f.u.): 0.00
Formation energy from raw total energies (meV per atom): 215

Cell: 4.8065 5.0677 4.8065 Å, 90.00 90.00 90.00°
Last column: nearest neighbours and their distance in Å.
Atoms (fractional coordinates):
Y 0.5000 0.5000 0.5000  4 As 3.40, 8 Al 3.49
Al 0.0000 0.0000 0.5000  2 Cl 2.40
Al 0.5000 0.0000 0.0000  2 Cl 2.40
As 0.0000 0.5000 0.0000  2 Cl 2.53
Cl 0.0000 0.0000 0.0000  4 Al 2.40, 2 As 2.53